PBE-GGA Na3VS3, relaxed; SG = No. 62; ΔE_f (raw) = -6.96 eV per formula unit
1.0
4.024 0.000 0.000
0.000 11.591 0.000
0.000 0.000 12.949
Na S V
12 12 4
Cartesian
3.018 2.787 9.209
3.018 7.575 6.381
1.006 6.635 1.254
1.006 8.804 3.740
1.006 9.812 12.856
1.006 4.016 6.568
1.006 0.839 5.221
3.018 4.957 11.695
3.018 10.752 7.729
3.018 1.780 0.093
3.018 8.583 10.215
1.006 3.008 2.734
1.006 1.142 8.111
3.018 4.653 1.636
3.018 8.841 1.605
3.018 11.251 10.967
3.018 3.045 4.870
1.006 0.340 1.982
1.006 8.546 8.080
1.006 6.136 4.492
3.018 5.455 8.457
3.018 10.449 4.839
1.006 2.750 11.344
1.006 6.938 11.313
1.006 6.498 9.080
3.018 10.889 2.605
3.018 5.093 3.870
1.006 0.702 10.345

***

PBE-GGA YFeTeI2, relaxed; SG = No. 123; ΔE_f (raw) = 0.13 eV per formula unit; excess energy over the best structure of this formula in the dataset = 0.0 meV per atom
1.0
5.112 0.000 0.000
0.000 5.112 0.000
0.000 0.000 5.291
Te I Y Fe
1 2 1 1
Cartesian
0.000 0.000 2.645
0.000 2.556 0.000
2.556 0.000 0.000
2.556 2.556 2.645
0.000 0.000 0.000

***

PBE-GGA BaGe3Pt, relaxed; ΔH_f (0 K) = -1.5 eV per formula unit; SG = No. 63
1.0
4.740 0.000 0.000
0.000 6.397 0.000
-2.370 0.000 8.137
Ge Pt Ba
6 2 2
Cartesian
0.000 4.798 2.159
2.370 0.210 3.497
2.370 2.988 3.497
0.000 3.408 4.640
0.000 6.187 4.640
2.370 1.599 5.978
2.370 4.798 1.583
0.000 1.599 6.554
0.000 1.599 1.255
2.370 4.798 6.881

***

PBE-GGA Cs6AgHg2O, relaxed; SG = No. 14; ΔE_f (raw) = -3.34 eV per formula unit
1.0
8.578 0.000 0.269
0.000 9.786 0.000
0.442 0.000 12.879
Cs O Hg Ag
12 2 4 2
Cartesian
6.536 3.398 12.592
7.816 5.145 3.070
2.484 6.388 0.556
7.756 7.549 12.507
1.264 2.237 0.641
5.774 2.656 7.215
2.026 1.495 6.018
3.246 7.130 5.933
5.272 0.252 3.773
6.994 8.291 7.130
1.204 4.640 10.078
3.748 9.533 9.375
4.510 0.000 6.574
0.000 4.893 0.000
8.344 0.922 9.999
5.186 5.815 9.723
0.676 8.863 3.149
3.834 3.970 3.425
0.221 4.893 6.439
4.289 0.000 0.135

***

PBE-GGA AcGa2PdPt, relaxed; ΔH_f (0 K) = -4.2 eV per formula unit; SG = No. 119
1.0
4.508 0.000 0.000
0.000 4.508 0.000
-2.254 -2.254 5.164
Pd Pt Ac Ga
1 1 1 2
Cartesian
2.254 0.000 2.582
0.000 2.254 2.582
0.000 0.000 0.000
2.254 2.254 1.366
0.000 0.000 3.797

***

PBE-GGA Rb2ReBr, relaxed; SG = No. 122; ΔE_f (raw) = 3.57 eV per formula unit; excess energy over the best structure of this formula in the dataset = 60.8 meV per atom
1.0
12.769 0.000 0.000
0.000 12.769 0.000
6.385 6.385 2.363
Re Rb Br
2 4 2
Cartesian
12.769 6.385 1.181
0.000 0.000 0.000
9.577 11.910 1.772
7.244 3.192 0.591
5.526 9.577 0.591
15.962 13.628 1.772
6.385 6.385 0.000
6.385 12.769 1.181

***

Number 1: total energy -4.6310 eV per atom. Number 2: total energy -4.2087 eV per atom. Number 3: total energy -4.6629 eV per atom. Number 4: total energy -1.6876 eV per atom. Number 5: total energy -5.1262 eV per atom. Number 6: total energy -3.1208 eV per atom.